LaFeSb2 PBE optimized geometry; E_tot = -5.9530 eV/atom
1.0
4.315 0.000 0.000
0.000 4.315 0.000
0.000 0.000 10.703
La Fe Sb
2 2 4
direct
0.250 0.250 0.243
0.750 0.750 0.757
0.250 0.750 0.500
0.750 0.250 0.500
0.250 0.250 0.649
0.250 0.750 0.000
0.750 0.250 0.000
0.750 0.750 0.351

La4FeSb2Se10 PBE optimized geometry; E_tot = -5.4632 eV/atom
1.0
15.747 0.000 0.000
0.000 7.964 0.000
0.000 0.000 13.836
La Fe Sb Se
16 4 8 40
direct
0.064 0.129 0.250
0.064 0.371 0.750
0.125 0.750 0.000
0.125 0.750 0.500
0.310 0.625 0.750
0.310 0.875 0.250
0.376 0.250 0.000
0.376 0.250 0.500
0.624 0.750 0.000
0.624 0.750 0.500
0.690 0.125 0.750
0.690 0.375 0.250
0.875 0.250 0.000
0.875 0.250 0.500
0.936 0.629 0.250
0.936 0.871 0.750
0.123 0.250 0.000
0.123 0.250 0.500
0.877 0.750 0.000
0.877 0.750 0.500
0.216 0.051 0.750
0.216 0.449 0.250
0.466 0.553 0.250
0.466 0.947 0.750
0.534 0.053 0.250
0.534 0.447 0.750
0.784 0.551 0.750
0.784 0.949 0.250
0.037 0.083 0.605
0.037 0.083 0.895
0.037 0.417 0.105
0.037 0.417 0.395
0.126 0.743 0.250
0.126 0.757 0.750
0.210 0.079 0.103
0.210 0.079 0.397
0.210 0.421 0.603
0.210 0.421 0.897
0.294 0.588 0.101
0.294 0.588 0.399
0.294 0.912 0.601
0.294 0.912 0.899
0.375 0.242 0.750
0.375 0.258 0.250
0.454 0.582 0.601
0.454 0.582 0.899
0.454 0.918 0.101
0.454 0.918 0.399
0.546 0.082 0.601
0.546 0.082 0.899
0.546 0.418 0.101
0.546 0.418 0.399
0.625 0.742 0.750
0.625 0.758 0.250
0.706 0.088 0.101
0.706 0.088 0.399
0.706 0.412 0.601
0.706 0.412 0.899
0.790 0.579 0.103
0.790 0.579 0.397
0.790 0.921 0.603
0.790 0.921 0.897
0.874 0.243 0.250
0.874 0.257 0.750
0.963 0.583 0.605
0.963 0.583 0.895
0.963 0.917 0.105
0.963 0.917 0.395

LaFe2SnSb PBE optimized geometry; E_tot = -6.1946 eV/atom
1.0
4.321 0.000 0.000
0.000 4.321 0.000
0.000 0.000 11.227
La Fe Sn Sb
2 4 2 2
direct
0.250 0.250 0.244
0.750 0.750 0.756
0.250 0.250 0.864
0.250 0.750 0.500
0.750 0.250 0.500
0.750 0.750 0.136
0.250 0.750 0.000
0.750 0.250 0.000
0.250 0.250 0.638
0.750 0.750 0.362

LaFeSe3 PBE optimized geometry; E_tot = -5.8111 eV/atom
1.0
7.981 0.000 0.000
0.000 3.904 0.000
0.000 0.000 13.723
La Fe Se
4 4 12
direct
0.100 0.250 0.168
0.400 0.750 0.668
0.600 0.250 0.332
0.900 0.750 0.832
0.150 0.750 0.457
0.350 0.250 0.957
0.650 0.750 0.043
0.850 0.250 0.543
0.007 0.750 0.606
0.167 0.750 0.001
0.194 0.250 0.794
0.306 0.750 0.294
0.333 0.250 0.501
0.493 0.250 0.106
0.507 0.750 0.894
0.667 0.750 0.499
0.694 0.250 0.706
0.806 0.750 0.206
0.833 0.250 0.999
0.993 0.250 0.394

LaTlFeSe3 PBE optimized geometry; energy relative to the lowest polymorph listed for this composition = 58 meV per atom
1.0
8.914 0.000 0.000
0.000 4.401 0.000
0.000 0.000 16.448
La Tl Fe Se
4 4 4 12
direct
0.223 0.250 0.052
0.277 0.750 0.552
0.723 0.250 0.448
0.777 0.750 0.948
0.069 0.750 0.298
0.431 0.250 0.798
0.569 0.750 0.202
0.931 0.250 0.702
0.142 0.750 0.866
0.358 0.250 0.366
0.642 0.750 0.634
0.858 0.250 0.134
0.009 0.250 0.901
0.139 0.250 0.456
0.193 0.750 0.724
0.307 0.250 0.224
0.361 0.750 0.956
0.491 0.750 0.401
0.509 0.250 0.599
0.639 0.250 0.044
0.693 0.750 0.776
0.807 0.250 0.276
0.861 0.750 0.544
0.991 0.750 0.099

LaTlFeSe3 PBE optimized geometry; energy relative to the lowest polymorph listed for this composition = 141 meV per atom
1.0
8.841 -2.190 0.000
8.841 2.190 0.000
-3.657 0.000 8.262
La Tl Fe Se
2 2 2 6
direct
0.190 0.190 0.154
0.810 0.810 0.846
0.127 0.127 0.594
0.873 0.873 0.406
0.498 0.498 0.847
0.502 0.502 0.153
0.000 0.000 0.000
0.348 0.348 0.094
0.349 0.349 0.663
0.500 0.500 0.500
0.651 0.651 0.337
0.652 0.652 0.906

LaTlFeSe3 PBE optimized geometry; energy relative to the lowest polymorph listed for this composition = 1 meV per atom
1.0
11.694 0.000 0.000
0.000 4.391 0.000
0.000 0.000 12.659
La Tl Fe Se
4 4 4 12
direct
0.017 0.250 0.173
0.483 0.750 0.673
0.517 0.250 0.327
0.983 0.750 0.827
0.169 0.250 0.508
0.331 0.750 0.008
0.669 0.250 0.992
0.831 0.750 0.492
0.247 0.250 0.795
0.253 0.750 0.295
0.747 0.250 0.705
0.753 0.750 0.205
0.052 0.750 0.335
0.113 0.250 0.943
0.217 0.750 0.705
0.283 0.250 0.205
0.387 0.750 0.443
0.448 0.250 0.835
0.552 0.750 0.165
0.613 0.250 0.557
0.717 0.750 0.795
0.783 0.250 0.295
0.887 0.750 0.057
0.948 0.250 0.665

LaTlFeSe3 PBE optimized geometry; energy relative to the lowest polymorph listed for this composition = 0 meV per atom
1.0
14.974 0.000 0.000
0.000 4.218 0.000
0.000 0.000 11.592
La Tl Fe Se
4 4 4 12
direct
0.020 0.250 0.163
0.480 0.750 0.663
0.520 0.250 0.337
0.980 0.750 0.837
0.235 0.250 0.467
0.265 0.750 0.967
0.735 0.250 0.033
0.765 0.750 0.533
0.009 0.750 0.421
0.491 0.250 0.921
0.509 0.750 0.079
0.991 0.250 0.579
0.083 0.750 0.609
0.102 0.250 0.929
0.130 0.750 0.281
0.370 0.250 0.781
0.398 0.750 0.429
0.417 0.250 0.109
0.583 0.750 0.891
0.602 0.250 0.571
0.630 0.750 0.219
0.870 0.250 0.719
0.898 0.750 0.071
0.917 0.250 0.391

LaTlFeSe3 PBE optimized geometry; energy relative to the lowest polymorph listed for this composition = 2 meV per atom
1.0
8.361 0.000 0.000
0.000 4.218 0.000
-2.961 0.000 10.233
La Tl Fe Se
2 2 2 6
direct
0.205 0.250 0.138
0.795 0.750 0.862
0.211 0.750 0.688
0.789 0.250 0.312
0.435 0.750 0.415
0.565 0.250 0.585
0.044 0.250 0.853
0.278 0.250 0.440
0.471 0.750 0.195
0.529 0.250 0.805
0.722 0.750 0.560
0.956 0.750 0.147

LaTlFeSe3 PBE optimized geometry; energy relative to the lowest polymorph listed for this composition = 9 meV per atom
1.0
2.133 -7.309 0.000
2.133 7.309 0.000
0.000 0.000 11.455
La Tl Fe Se
2 2 2 6
direct
0.000 0.000 0.000
0.000 0.000 0.500
0.249 0.751 0.750
0.751 0.249 0.250
0.470 0.530 0.250
0.530 0.470 0.750
0.063 0.937 0.250
0.369 0.631 0.081
0.369 0.631 0.419
0.631 0.369 0.581
0.631 0.369 0.919
0.937 0.063 0.750

LaFeSi PBE optimized geometry; E_tot = -6.8065 eV/atom
1.0
4.087 0.000 0.000
0.000 4.087 0.000
0.000 0.000 7.071
La Fe Si
2 2 2
direct
0.250 0.250 0.187
0.750 0.750 0.813
0.250 0.750 0.500
0.750 0.250 0.500
0.250 0.250 0.657
0.750 0.750 0.343

LaSmFe2Si2 PBE optimized geometry; E_tot = -6.7741 eV/atom
1.0
4.080 0.000 0.000
0.000 4.080 0.000
0.000 0.000 6.865
La Sm Fe Si
1 1 2 2
direct
0.000 0.000 0.000
0.500 0.500 0.635
0.000 0.500 0.327
0.500 0.000 0.327
0.000 0.000 0.492
0.500 0.500 0.161

LaSmFe2Si4 PBE optimized geometry; E_tot = -6.6786 eV/atom
1.0
4.357 0.000 0.000
0.000 4.038 0.000
-1.944 0.000 7.884
La Sm Fe Si
1 1 2 4
direct
0.000 0.000 0.000
0.791 0.500 0.588
0.277 0.000 0.404
0.513 0.500 0.187
0.071 0.500 0.293
0.350 0.000 0.695
0.439 0.500 0.890
0.720 0.000 0.300

LaFeSi2Tc PBE optimized geometry; E_tot = -7.4812 eV/atom
1.0
-2.069 2.069 5.098
2.069 -2.069 5.098
2.069 2.069 -5.098
La Fe Si Tc
1 1 2 1
direct
0.000 0.000 0.000
0.750 0.250 0.500
0.366 0.366 0.000
0.634 0.634 0.000
0.250 0.750 0.500

LaTmFe2Si2 PBE optimized geometry; E_tot = -6.7532 eV/atom
1.0
4.046 0.000 0.000
0.000 4.046 0.000
0.000 0.000 6.686
La Tm Fe Si
1 1 2 2
direct
0.000 0.000 0.000
0.500 0.500 0.630
0.000 0.500 0.339
0.500 0.000 0.339
0.000 0.000 0.506
0.500 0.500 0.167

LaYFe2Si2 PBE optimized geometry; E_tot = -7.0826 eV/atom
1.0
4.068 0.000 0.000
0.000 4.068 0.000
0.000 0.000 6.788
La Y Fe Si
1 1 2 2
direct
0.000 0.000 0.000
0.500 0.500 0.368
0.000 0.500 0.667
0.500 0.000 0.667
0.000 0.000 0.501
0.500 0.500 0.835

LaYFe2Si4 PBE optimized geometry; E_tot = -6.9051 eV/atom
1.0
4.336 0.000 0.000
0.000 4.018 0.000
-1.929 0.000 7.843
La Y Fe Si
1 1 2 4
direct
0.000 0.000 0.000
0.793 0.500 0.588
0.282 0.000 0.407
0.515 0.500 0.190
0.073 0.500 0.296
0.352 0.000 0.695
0.440 0.500 0.889
0.724 0.000 0.305

LaSmFe PBE optimized geometry; energy relative to the lowest polymorph listed for this composition = 0 meV per atom
1.0
0.000 3.409 3.409
3.409 0.000 3.409
3.409 3.409 0.000
La Sm Fe
1 1 1
direct
0.000 0.000 0.000
0.500 0.500 0.500
0.250 0.250 0.250

LaSmFe PBE optimized geometry; energy relative to the lowest polymorph listed for this composition = 419 meV per atom
1.0
8.444 0.000 0.000
-4.222 7.313 0.000
0.000 0.000 3.308
La Sm Fe
3 3 3
direct
0.000 0.314 0.000
0.314 0.000 0.000
0.686 0.686 0.000
0.000 0.000 0.500
0.333 0.667 0.000
0.667 0.333 0.000
0.000 0.643 0.500
0.357 0.357 0.500
0.643 0.000 0.500